No. 1
The following is a DFT calculation (PBE) of an optimized crystal structure of La4Cu3Au.

Summary:
Total magnetic moment ... 0.0 μB/f.u.
E_tot ... -4.74 eV per atom

Unit cell a=4.0284 b=4.6724 c=11.0416 alpha=90.00 beta=90.00 gamma=90.00
Space group Pmm2 (No. 25)
One atom of each set of equivalent atoms:
1 La 0.0000 0.0000 0.0000 [1 per cell]
2 La 0.0000 0.5000 0.2724 [1 per cell]
3 La 0.5000 0.0000 0.4874 [1 per cell]
4 La 0.5000 0.5000 0.7748 [1 per cell]
5 Cu 0.0000 0.5000 0.5590 [1 per cell]
6 Cu 0.5000 0.0000 0.1993 [1 per cell]
7 Cu 0.5000 0.5000 0.0691 [1 per cell]
8 Au 0.0000 0.0000 0.7066 [1 per cell]



No. 2
The following is a DFT calculation (PBE) of an optimized crystal structure of KSr2BiRh.

Summary:
Total magnetic moment ... 0.0 μB/f.u.
E_tot ... -2.49 eV per atom

Unit cell a=6.2373 b=6.2373 c=4.6959 alpha=90.00 beta=90.00 gamma=90.00
Space group P4/mmm (No. 123)
One atom of each set of equivalent atoms:
1 K 0.0000 0.0000 0.0000 [1 per cell]
2 Sr 0.0000 0.5000 0.0000 [2 per cell]
3 Bi 0.5000 0.5000 0.5000 [1 per cell]
4 Rh 0.0000 0.0000 0.5000 [1 per cell]



No. 3
The following is a DFT calculation (PBE) of an optimized crystal structure of SbPbAu2.

Summary:
Total magnetic moment ... 0.0 μB/f.u.
Raw formation energy ... 33 meV per atom

Unit cell a=7.2057 b=7.2057 c=7.2057 alpha=90.00 beta=90.00 gamma=90.00
Space group Fm-3m (No. 225)
One atom of each set of equivalent atoms:
1 Sb 0.0000 0.0000 0.0000 [4 per cell]
2 Pb 0.0000 0.0000 0.5000 [4 per cell]
3 Au 0.2500 0.2500 0.2500 [8 per cell]



No. 4
The following is a DFT calculation (PBE) of an optimized crystal structure of YTe2HN.

Summary:
Total magnetic moment ... 0.0 μB/f.u.
Distance to the lowest polymorph of the same formula ... 0 meV/atom

Unit cell a=5.5387 b=5.5387 c=3.0331 alpha=90.00 beta=90.00 gamma=90.00
Space group P4/mmm (No. 123)
One atom of each set of equivalent atoms:
1 Y 0.0000 0.0000 0.0000 [1 per cell]
2 Te 0.0000 0.5000 0.5000 [2 per cell]
3 H 0.5000 0.5000 0.5000 [1 per cell]
4 N 0.5000 0.5000 0.0000 [1 per cell]



No. 5
The following is a DFT calculation (PBE) of an optimized crystal structure of BaNaCr3.

Summary:
Total magnetic moment ... 15.0 μB/f.u.
Distance to the lowest polymorph of the same formula ... 540 meV/atom

Unit cell a=6.1882 b=6.1882 c=6.1882 alpha=90.00 beta=90.00 gamma=90.00
Space group Pm-3m (No. 221)
One atom of each set of equivalent atoms:
1 Ba 0.0000 0.0000 0.0000 [1 per cell]
2 Na 0.5000 0.5000 0.5000 [1 per cell]
3 Cr 0.0000 0.0000 0.5000 [3 per cell]



No. 6
The following is a DFT calculation (PBE) of an optimized crystal structure of LiSn2Te2.

Summary:
Total magnetic moment ... 0.0 μB/f.u.
Raw formation energy ... -201 meV per atom
Distance to the lowest polymorph of the same formula ... 60 meV/atom

Unit cell a=5.9985 b=5.9985 c=9.0256 alpha=90.00 beta=90.00 gamma=90.00
Space group I4/mmm (No. 139)
One atom of each set of equivalent atoms:
1 Li 0.0000 0.0000 0.0000 [2 per cell]
2 Sn 0.0000 0.0000 0.3362 [4 per cell]
3 Te 0.0000 0.5000 0.2500 [4 per cell]